No. 1
Computed, not measured: a relaxed structure of MnNbCd2Hg at the PBE level of DFT.

Its energy of formation from the pure elements is 1.355 eV/atom. The calculation puts the calculated density at 7.3 g/cm³. The volume comes out at 130.79 Å³/cell. The value obtained for the total energy is -2.919 eV per atom.

It has space group P4/mmm (No. 123), with a = 5.130 Å, b = 5.130 Å, c = 4.969 Å, α = 90.00°, β = 90.00° and γ = 90.00°. The inequivalent atoms are Mn at (0.000, 0.000, 0.000), Nb at (0.500, 0.500, 0.000), Cd at (0.000, 0.500, 0.500) and Hg at (0.000, 0.000, 0.500).

No. 2
Computed, not measured: a relaxed structure of Ce2PrSi at the PBE level of DFT.

As for the excess energy over the best structure of this formula in the dataset: 0.3135 eV per atom. The calculation puts the calculated density at 6.4 g/cm³. The volume comes out at 348.50 Å³/cell. The value obtained for the total energy is -5.531 eV per atom. The uncorrected formation energy comes out at -5 kJ/mol of formula units.

It has space group R3m (No. 160, hexagonal axes), with a = 4.4721 Å, b = 4.4721 Å, c = 20.1209 Å, α = 90.00°, β = 90.00° and γ = 120.00°. The inequivalent atoms are Ce at (0.0000, 0.0000, 0.0000), Ce at (0.0000, 0.0000, 0.2031), Pr at (0.0000, 0.0000, 0.7968) and Si at (0.0000, 0.0000, 0.6021).

No. 3
Computed, not measured: a relaxed structure of TmAg at the PBE level of DFT.

Its energy of formation from the pure elements is -0.337 eV/atom. The calculation puts the calculated density at 9.9 g/cm³. The volume comes out at 46.20 Å³/cell. The value obtained for the total energy is -3.998 eV per atom.

It has space group Pm-3m (No. 221), with a = 3.588 Å, b = 3.588 Å, c = 3.588 Å, α = 90.00°, β = 90.00° and γ = 90.00°. The inequivalent atoms are Tm at (0.000, 0.000, 0.000) and Ag at (0.500, 0.500, 0.500).

No. 4
Computed, not measured: a relaxed structure of LaMg2Tl2 at the PBE level of DFT.

Its energy of formation from the pure elements is -0.247 eV/atom. As for the excess energy over the best structure of this formula in the dataset: 0.0000 eV per atom. The calculation puts the calculated density at 7.2 g/cm³. The volume comes out at 273.62 Å³/cell. The value obtained for the total energy is -2.816 eV per atom.

It has space group I4/mmm (No. 139), with a = 4.633 Å, b = 4.633 Å, c = 12.750 Å, α = 90.00°, β = 90.00° and γ = 90.00°. The inequivalent atoms are La at (0.000, 0.000, 0.000), Mg at (0.000, 0.500, 0.250) and Tl at (0.000, 0.000, 0.387).